--- i ---
Here is a geometry-optimized BeSi2Se structure from Alexandria. Energies are from GGA-PBE.

The density of states at the Fermi level comes out at 1.560 states/eV/f.u.

```
BeSi2Se
1.0
-0.805 -1.657 2.785
2.732 -1.890 -0.336
3.368 4.246 3.501
Be Si Se
1 2 1
direct
0.000 0.000 0.501
0.000 0.000 0.127
0.500 0.500 0.249
0.500 0.500 0.623
```

--- ii ---
Here is a geometry-optimized BeSi2Se structure from Alexandria. Energies are from GGA-PBE.

The density of states at the Fermi level comes out at 1.920 states/eV/f.u.

```
BeSi2Se
1.0
4.411 0.000 0.000
2.205 3.820 0.000
2.205 1.273 3.601
Be Si Se
1 2 1
direct
0.500 0.500 0.500
0.000 0.000 0.000
0.250 0.250 0.250
0.750 0.750 0.750
```

Energies, relative to the best one, in meV/atom: i 0; ii 458.